Record 1
The following is a PBE-GGA calculation of a geometry-optimized Sm3Ga2Sn2 structure, from the Alexandria database.

Results
The formation energy is -0.6964 eV per atom.

```
Sm3Ga2Sn2
1.0
-4.065 0.830 1.189
0.443 -2.794 3.463
4.877 8.209 3.113
Sm Ga Sn
3 2 2
Direct
0.318 0.818 0.636
0.000 0.000 0.000
0.682 0.182 0.364
0.437 0.437 0.873
0.563 0.563 0.127
0.851 0.351 0.702
0.149 0.649 0.298
```

---

Record 2
The following is a PBE-GGA calculation of a geometry-optimized Sm4GaSn4 structure, from the Alexandria database.

Results
The formation energy is -0.2904 eV per atom.

```
Sm4GaSn4
1.0
-3.724 -2.342 -4.449
0.266 -7.326 -0.765
-6.785 -1.815 2.236
Sn Sm Ga
4 4 1
Direct
0.920 0.790 0.369
0.711 0.369 0.210
0.080 0.210 0.631
0.289 0.631 0.790
0.226 0.359 0.189
0.585 0.189 0.641
0.774 0.641 0.811
0.415 0.811 0.359
0.000 0.000 0.000
```

---

Record 3
The following is a PBE-GGA calculation of a geometry-optimized Sm4Ga3Sn structure, from the Alexandria database.

Results
The formation energy is -0.6536 eV per atom.

```
Sm4Ga3Sn
1.0
4.511 0.000 0.000
0.000 4.186 0.000
0.000 0.000 11.273
Sm Ga Sn
4 3 1
Direct
0.500 0.000 0.638
0.000 0.000 0.145
0.000 0.500 0.855
0.500 0.500 0.369
0.000 0.000 0.426
0.500 0.000 0.914
0.000 0.500 0.575
0.500 0.500 0.077
```

---

Record 4
The following is a PBE-GGA calculation of a geometry-optimized Tb2Sm2Ga4Sn structure, from the Alexandria database.

Results
The formation energy is -0.1771 eV per atom.

```
Tb2Sm2Ga4Sn
1.0
6.880 0.069 0.100
-3.242 6.068 -0.100
-3.242 -2.225 5.647
Tb Ga Sn Sm
2 4 1 2
Direct
0.500 0.750 0.250
0.500 0.250 0.750
0.000 0.737 0.263
0.000 0.263 0.737
0.525 0.263 0.263
0.475 0.737 0.737
0.000 0.000 0.000
0.000 0.309 0.309
0.000 0.691 0.691
```

---

Record 5
The following is a PBE-GGA calculation of a geometry-optimized SmTmGaSn structure, from the Alexandria database.

Results
The energy above the lowest structure with this stoichiometry is 0.615 eV per formula unit. The formation energy is -0.5300 eV per atom.

```
SmTmGaSn
1.0
5.240 0.000 0.000
2.620 4.538 0.000
2.620 1.513 4.278
Sn Ga Tm Sm
1 1 1 1
Direct
0.250 0.250 0.250
0.750 0.750 0.750
0.500 0.500 0.500
0.000 0.000 0.000
```

---

Record 6
The following is a PBE-GGA calculation of a geometry-optimized SmTmGaSn structure, from the Alexandria database.

Results
The energy above the lowest structure with this stoichiometry is 0.000 eV per formula unit. The formation energy is -0.6838 eV per atom.

```
SmTmGaSn
1.0
4.484 0.000 0.000
0.000 4.170 0.000
-2.242 0.000 5.598
Ga Sn Sm Tm
1 1 1 1
Direct
0.586 0.500 0.172
0.419 0.000 0.838
0.136 0.000 0.273
0.858 0.500 0.717
```

---

Record 7
The following is a PBE-GGA calculation of a geometry-optimized Sm2Y2Ga4Sn structure, from the Alexandria database.

Results
The formation energy is -0.1789 eV per atom.

```
Sm2Y2Ga4Sn
1.0
-2.249 -3.713 5.338
6.327 -1.332 -2.352
1.229 6.684 1.076
Ga Sn Y Sm
4 1 2 2
Direct
0.475 0.738 0.738
0.525 0.262 0.262
0.000 0.738 0.262
0.000 0.262 0.738
0.000 0.000 0.000
0.500 0.250 0.750
0.500 0.750 0.250
0.000 0.310 0.310
0.000 0.690 0.690
```

---

Record 8
The following is a PBE-GGA calculation of a geometry-optimized SmYGaSn structure, from the Alexandria database.

Results
The energy above the lowest structure with this stoichiometry is 0.000 eV per formula unit. The formation energy is -0.7259 eV per atom.

```
SmYGaSn
1.0
4.513 0.000 0.000
0.000 4.197 0.000
-2.257 0.000 5.642
Sn Sm Ga Y
1 1 1 1
Direct
0.420 0.000 0.840
0.137 0.000 0.273
0.585 0.500 0.171
0.858 0.500 0.716
```

---

Record 9
The following is a PBE-GGA calculation of a geometry-optimized SmYGaSn structure, from the Alexandria database.

Results
The energy above the lowest structure with this stoichiometry is 0.648 eV per formula unit. The formation energy is -0.5639 eV per atom.

```
SmYGaSn
1.0
5.275 0.000 0.000
2.638 4.568 0.000
2.638 1.523 4.307
Sn Y Sm Ga
1 1 1 1
Direct
0.750 0.750 0.750
0.000 0.000 0.000
0.500 0.500 0.500
0.250 0.250 0.250
```

---

Record 10
The following is a PBE-GGA calculation of a geometry-optimized Sr2SmGa structure, from the Alexandria database.

Results
The formation energy is 0.1411 eV per atom.

```
Sr2SmGa
1.0
3.822 0.000 0.000
1.911 3.310 0.000
1.911 1.103 12.107
Sr Ga Sm
2 1 1
Direct
0.899 0.899 0.303
0.101 0.101 0.697
0.500 0.500 0.500
0.000 0.000 0.000
```

---

Record 11
The following is a PBE-GGA calculation of a geometry-optimized SrSm2Ga4 structure, from the Alexandria database.

Results
The formation energy is -0.5384 eV per atom.

```
SrSm2Ga4
1.0
4.112 0.000 -0.938
-0.236 4.425 -1.034
0.089 -0.028 9.875
Sm Ga Sr
2 4 1
Direct
0.185 0.185 0.369
0.815 0.815 0.631
0.649 0.649 0.298
0.932 0.432 0.864
0.351 0.351 0.702
0.068 0.568 0.136
0.500 0.000 0.000
```

---

Record 12
The following is a PBE-GGA calculation of a geometry-optimized SrSmGa structure, from the Alexandria database.

Results
The energy above the lowest structure with this stoichiometry is 0.004 eV per formula unit. The formation energy is -0.2725 eV per atom.

```
SrSmGa
1.0
-2.414 -2.278 -1.809
1.171 -2.913 2.106
-4.199 4.015 4.495
Sr Ga Sm
1 1 1
Direct
0.026 0.026 0.051
0.682 0.682 0.364
0.292 0.292 0.584
```

---

Record 13
The following is a PBE-GGA calculation of a geometry-optimized Sr2SmGa4 structure, from the Alexandria database.

Results
The formation energy is -0.5045 eV per atom.

```
Sr2SmGa4
1.0
-2.693 -1.767 -2.896
-1.961 -2.275 3.212
-4.118 9.552 1.240
Sm Ga Sr
1 4 2
Direct
0.500 0.000 0.000
0.061 0.561 0.122
0.629 0.629 0.258
0.371 0.371 0.742
0.939 0.439 0.878
0.182 0.182 0.365
0.818 0.818 0.635
```

---

Record 14
The following is a PBE-GGA calculation of a geometry-optimized SrSmGa6 structure, from the Alexandria database.

Results
The formation energy is -0.4212 eV per atom.

```
SrSmGa6
1.0
4.434 0.000 0.000
0.000 6.101 0.000
0.000 0.000 6.467
Sm Ga Sr
1 6 1
Direct
0.500 0.389 0.500
0.000 0.753 0.500
0.000 0.147 0.741
0.000 0.147 0.259
0.500 0.207 0.000
0.500 0.868 0.278
0.500 0.868 0.722
0.000 0.621 0.000
```

---

Record 15
The following is a PBE-GGA calculation of a geometry-optimized SrSmGa2 structure, from the Alexandria database.

Results
The formation energy is -0.2397 eV per atom.

```
SrSmGa2
1.0
-2.946 1.334 2.135
-0.536 -1.322 3.603
4.201 6.659 5.152
Sm Sr Ga
1 1 2
Direct
0.000 0.000 0.000
0.500 0.500 0.500
0.745 0.745 0.764
0.255 0.255 0.236
```

---

Record 16
The following is a PBE-GGA calculation of a geometry-optimized SrSmGa structure, from the Alexandria database.

Results
The energy above the lowest structure with this stoichiometry is 0.000 eV per formula unit. The formation energy is -0.2738 eV per atom.

```
SrSmGa
1.0
5.067 0.000 0.061
2.533 4.389 0.042
-0.117 -0.026 9.610
Sr Sm Ga
2 2 2
Direct
0.333 0.833 0.667
0.667 0.167 0.333
0.667 0.167 0.913
0.333 0.833 0.087
0.000 0.500 0.857
0.000 0.500 0.143
```

---

Record 17
The following is a PBE-GGA calculation of a geometry-optimized SrSmGa2 structure, from the Alexandria database.

Results
The formation energy is -0.4596 eV per atom.

```
SrSmGa2
1.0
-1.901 -1.191 -3.017
2.703 -2.515 -0.710
-3.626 -5.110 4.302
Sr Ga Sm
1 2 1
Direct
0.500 0.500 0.500
0.000 0.000 0.223
0.000 0.000 0.777
0.500 0.500 0.000
```

---

Record 18
The following is a PBE-GGA calculation of a geometry-optimized SrSmGa structure, from the Alexandria database.

Results
The energy above the lowest structure with this stoichiometry is 0.085 eV per formula unit. The formation energy is -0.2455 eV per atom.

```
SrSmGa
1.0
-1.116 4.863 1.948
0.342 -3.466 1.485
13.267 2.207 2.091
Sm Ga Sr
2 2 2
Direct
0.694 0.387 0.378
0.694 0.387 0.622
0.193 0.387 0.500
0.696 0.391 0.000
0.195 0.391 0.855
0.195 0.391 0.145
```

---

Record 19
The following is a PBE-GGA calculation of a geometry-optimized Sr2SmGaTe5 structure, from the Alexandria database.

Results
The uncorrected formation energy comes out at -1.2517 eV per atom.

```
Sr2SmGaTe5
1.0
4.420 0.000 0.000
-2.210 10.166 0.000
0.000 0.000 13.773
Ga Sm Sr Te
2 2 4 10
Direct
0.439 0.879 0.434
0.561 0.121 0.934
0.794 0.588 0.524
0.206 0.412 0.024
0.122 0.245 0.323
0.881 0.762 0.182
0.119 0.238 0.682
0.878 0.755 0.823
0.357 0.713 0.005
0.045 0.090 0.048
0.499 0.998 0.768
0.643 0.287 0.505
0.501 0.002 0.268
0.293 0.587 0.680
0.955 0.910 0.548
0.707 0.413 0.180
0.315 0.630 0.360
0.685 0.370 0.860
```

---

Record 20
The following is a PBE-GGA calculation of a geometry-optimized SrSmTlGa structure, from the Alexandria database.

Results
The formation energy is -0.3493 eV per atom.

```
SrSmTlGa
1.0
5.481 0.000 0.000
2.741 4.747 0.000
2.741 1.582 4.476
Tl Sr Ga Sm
1 1 1 1
Direct
0.750 0.750 0.750
0.500 0.500 0.500
0.250 0.250 0.250
0.000 0.000 0.000
```

---

no.,calculated total energy (eV per atom),total magnetization (μB per formula unit)
1,-4.73,0.0
2,-4.50,0.0
3,-4.65,0.4
4,-4.04,0.0
5,-4.59,0.0
6,-4.74,0.0
7,-4.45,0.0
8,-5.28,0.0
9,-5.12,0.0
10,-2.64,0.6
11,-3.86,0.0
12,-3.42,0.0
13,-3.39,0.0
14,-3.49,0.0
15,-3.35,0.0
16,-3.42,0.0
17,-3.57,0.0
18,-3.39,0.0
19,-4.23,0.0
20,-3.30,0.0